Compound: ScRe2Mo
Source: Alexandria
Functional: PBE-GGA
Structure: optimized geometry

Lattice parameters (Å, degrees): 3.1527 4.4916 4.5084 90.00 90.00 90.00
Space group Pmmm (No. 47)
One atom of each set of equivalent atoms:
Sc 0.0000 0.0000 0.0000
Re 0.0000 0.5000 0.5000
Re 0.5000 0.5000 0.0000
Mo 0.5000 0.0000 0.5000

Output
The polymorph energy (0 for the lowest one) comes out at 79 meV per atom. The calculation puts the formation energy at 0.01 eV/atom. The value obtained for the total magnetization is 0.0 μB per cell.